1.
NaCrC2N | GGA-PBE | optimized geometry

```
NaCrC2N
1.0
3.9936 0.0000 0.0000
0.0000 3.9936 0.0000
0.0000 0.0000 3.8770
Na Cr C N
1 1 2 1
direct
0.0000 0.0000 0.0000
0.5000 0.5000 0.5000
0.0000 0.5000 0.0000
0.5000 0.0000 0.0000
0.0000 0.0000 0.5000
```

Results
Space-group type ... P4/mmm (123)
Calculated density ... 3.03 g cm⁻³
Energy ... -3.9332 eV/atom
Crystal system ... tetragonal
Formation energy from raw total energies ... 3.61 eV per atom


2.
Nd2Cr2C2N | GGA-PBE | optimized geometry

```
Nd2Cr2C2N
1.0
5.2036 -1.6914 0.0000
5.2036 1.6914 0.0000
-3.5043 0.0000 5.4846
Nd Cr C N
2 2 2 1
direct
0.0708 0.0708 0.3328
0.9292 0.9292 0.6672
0.3006 0.3006 0.9200
0.6994 0.6994 0.0800
0.3086 0.3086 0.2434
0.6914 0.6914 0.7566
0.5000 0.5000 0.0000
```

Results
Space-group type ... C2/m (12)
Calculated density ... 7.40 g cm⁻³
Energy ... -8.3845 eV/atom
Crystal system ... monoclinic
Formation energy from raw total energies ... -0.45 eV per atom